Here is a geometry-optimized Ca2RhPb structure from Alexandria via LeMat-Bulk. Energies are from GGA-PBE.

Summary:
- DOS at the Fermi energy (states/eV/atom) = 0.5269
- space-group type = No. 47
- energy of formation (eV/f.u.) = -1.657
- magnetization (μB/f.u.) = 0.00

Geometry as extended XYZ:
```
4
Lattice="3.4646 0.0000 0.0000 0.0000 3.3976 0.0092 0.0000 3.3772 8.5393" Properties=species:S:1:pos:R:3 pbc="T T T"
Ca 0.0000 3.3782 8.1336
Ca 0.0000 3.3865 4.6799
Pb 1.7323 1.6937 2.1371
Rh 1.7323 5.0811 6.4113
```